A relaxed structure of LaCePrGd. Source: the Alexandria database, functional PBE.

Properties
As for the total energy: -115.92 eV for the cell shown. The magnetization is 40.739 μB/cell. For the energy relative to the elements, the calculation gives 71 kJ/mol of formula units.

Lattice parameters (Å, degrees): 8.2159 8.2159 8.2159 90.00 90.00 90.00
With the nearest neighbours (Å) after each atom.
Space group F-43m (No. 216)
Inequivalent atoms, fractional coordinates:
La 0.0000 0.0000 0.0000  4 Pr 3.56, 4 Ce 3.56
Ce 0.2500 0.2500 0.7500  4 La 3.56, 4 Gd 3.56
Pr 0.2500 0.2500 0.2500  4 Gd 3.56, 4 La 3.56
Gd 0.0000 0.0000 0.5000  4 Ce 3.56, 4 Pr 3.56